Record 1
Material: FeHO2
Method: DFT, GGA+U
State: optimized geometry

Cell lengths 7.7512, 7.7512, 7.7512 Å; angles 92.26, 92.26, 157.07 degrees
With the nearest neighbours (Å) after each atom.
Fractional coordinates of all 16 atoms:
Fe 0.1558 0.6799 0.8358  6 O 1.98-2.16
Fe 0.3201 0.1558 0.4759  6 O 1.98-2.16
Fe 0.6799 0.8442 0.5241  6 O 1.98-2.16
Fe 0.8442 0.3201 0.1642  6 O 1.98-2.16
H 0.0459 0.2285 0.2744  1 O 0.99
H 0.2285 0.9541 0.1826  1 O 0.99
H 0.7715 0.0459 0.8174  1 O 0.99
H 0.9541 0.7715 0.7256  1 O 0.99
O 0.0405 0.3202 0.3606  1 H 0.99
O 0.2964 0.3423 0.6387  3 Fe 1.98-2.02
O 0.3202 0.9595 0.2797  1 H 0.99
O 0.3423 0.7036 0.0459  3 Fe 1.98-2.02
O 0.6577 0.2964 0.9541  3 Fe 1.98-2.02
O 0.6798 0.0405 0.7203  1 H 0.99
O 0.7036 0.6577 0.3613  3 Fe 1.98-2.02
O 0.9595 0.6798 0.6394  1 H 0.99

Summary:
Final energy: -94.80 eV per cell
SG: I4/m (87)
Theoretical density: 3.32 Mg/m³
D(E_F): 0.0 states/eV per cell

***

Record 2
Material: Fe4P3H3O15
Method: DFT, GGA+U
State: optimized geometry

Cell lengths 10.5951, 10.5951, 7.5564 Å; angles 101.61, 101.61, 41.51 degrees
With the nearest neighbours (Å) after each atom.
Fractional coordinates of all 50 atoms:
Fe 0.1472 0.6995 0.8438  5 O 1.92-2.14
Fe 0.3005 0.8528 0.6562  5 O 1.92-2.14
Fe 0.3198 0.3419 0.1486  5 O 1.92-2.10
Fe 0.3419 0.3198 0.6486  5 O 1.92-2.10
Fe 0.6581 0.6802 0.3514  5 O 1.92-2.10
Fe 0.6802 0.6581 0.8514  5 O 1.92-2.10
Fe 0.6995 0.1472 0.3438  5 O 1.92-2.14
Fe 0.8528 0.3005 0.1562  5 O 1.92-2.14
P 0.0326 0.3056 0.5865  4 O 1.53-1.57
P 0.3056 0.0326 0.0865  4 O 1.53-1.57
P 0.3857 0.6143 0.2500  4 O 1.53-1.57
P 0.6143 0.3857 0.7500  4 O 1.53-1.57
P 0.6944 0.9674 0.9135  4 O 1.53-1.57
P 0.9674 0.6944 0.4135  4 O 1.53-1.57
H 0.0066 0.9934 0.2500  1 O 0.98
H 0.0887 0.5010 0.8757  1 O 0.99
H 0.4990 0.9113 0.6243  1 O 0.99
H 0.5010 0.0887 0.3757  1 O 0.99
H 0.9113 0.4990 0.1243  1 O 0.99
H 0.9934 0.0066 0.7500  1 O 0.98
O 0.0723 0.5515 0.2468  1 P 1.55
O 0.1086 0.1169 0.6078  1 P 1.53
O 0.1144 0.6028 0.5844  1 P 1.57
O 0.1169 0.1086 0.1078  1 P 1.53
O 0.1240 0.8760 0.7500  1 H 0.98
O 0.1975 0.2705 0.5602  1 P 1.54
O 0.2075 0.4644 0.9006  1 H 0.99
O 0.2450 0.7135 0.0839  1 P 1.53
O 0.2705 0.1975 0.0602  1 P 1.54
O 0.2865 0.7550 0.4161  1 P 1.53
O 0.3972 0.8856 0.9156  1 P 1.57
O 0.4292 0.4453 0.7627  1 P 1.57
O 0.4453 0.4292 0.2627  1 P 1.57
O 0.4485 0.9277 0.2532  1 P 1.55
O 0.4644 0.2075 0.4006  1 H 0.99
O 0.5356 0.7925 0.5994  1 H 0.99
O 0.5515 0.0723 0.7468  1 P 1.55
O 0.5547 0.5708 0.7373  1 P 1.57
O 0.5708 0.5547 0.2373  1 P 1.57
O 0.6028 0.1144 0.0844  1 P 1.57
O 0.7135 0.2450 0.5839  1 P 1.53
O 0.7295 0.8025 0.9398  1 P 1.54
O 0.7550 0.2865 0.9161  1 P 1.53
O 0.7925 0.5356 0.0994  1 H 0.99
O 0.8025 0.7295 0.4398  1 P 1.54
O 0.8760 0.1240 0.2500  1 H 0.98
O 0.8831 0.8914 0.8922  1 P 1.53
O 0.8856 0.3972 0.4156  1 P 1.57
O 0.8914 0.8831 0.3922  1 P 1.53
O 0.9277 0.4485 0.7532  1 P 1.55

Summary:
Final energy: -334.68 eV per cell
SG: C2/c (15)
Theoretical density: 3.38 Mg/m³
D(E_F): 0.0 states/eV per cell

***

Record 3
Material: FePH2O5
Method: DFT, GGA+U
State: optimized geometry

Cell lengths 5.1854, 5.1854, 7.4943 Å; angles 105.19, 105.19, 99.77 degrees
With the nearest neighbours (Å) after each atom.
Fractional coordinates of all 18 atoms:
Fe 0.0000 0.5000 0.0000  4 O 1.94-2.01
Fe 0.5000 0.0000 0.5000  4 O 1.94-2.01
P 0.0777 0.9223 0.7500  4 O 1.54-1.56
P 0.9223 0.0777 0.2500  4 O 1.54-1.56
H 0.3642 0.4450 0.2955  1 O 1.03
H 0.4450 0.3642 0.7955  1 O 1.03
H 0.5550 0.6358 0.2045  1 O 1.03
H 0.6358 0.5550 0.7045  1 O 1.03
O 0.1585 0.7819 0.9060  1 P 1.54
O 0.1725 0.2438 0.8447  1 P 1.56, 1 H 1.62
O 0.2181 0.8415 0.5940  1 P 1.54
O 0.2438 0.1725 0.3447  1 P 1.56, 1 H 1.62
O 0.3849 0.6151 0.2500  2 H 1.03
O 0.6151 0.3849 0.7500  2 H 1.03
O 0.7562 0.8275 0.6553  1 P 1.56, 1 H 1.62
O 0.7819 0.1585 0.4060  1 P 1.54
O 0.8275 0.7562 0.1553  1 P 1.56, 1 H 1.62
O 0.8415 0.2181 0.0940  1 P 1.54

Summary:
Final energy: -115.21 eV per cell
SG: C2/c (15)
Theoretical density: 3.09 Mg/m³
D(E_F): 0.0 states/eV per cell

***

Record 4
Material: Fe2P2H4O9
Method: DFT, GGA+U
State: optimized geometry

Cell lengths 6.5353, 14.3823, 9.3528 Å; angles 90.00, 127.38, 90.00 degrees
With the nearest neighbours (Å) after each atom.
Fractional coordinates of all 68 atoms:
Fe 0.1874 0.1100 0.4206  6 O 2.05-2.22
Fe 0.1874 0.3900 0.9206  6 O 2.05-2.22
Fe 0.2862 0.7460 0.8418  6 O 2.09-2.26
Fe 0.2862 0.7540 0.3418  6 O 2.09-2.26
Fe 0.7138 0.2460 0.6582  6 O 2.09-2.26
Fe 0.7138 0.2540 0.1582  6 O 2.09-2.26
Fe 0.8126 0.6100 0.0794  6 O 2.05-2.22
Fe 0.8126 0.8900 0.5794  6 O 2.05-2.22
P 0.1578 0.1876 0.0814  4 O 1.53-1.63
P 0.1578 0.3124 0.5814  4 O 1.53-1.63
P 0.3818 0.5859 0.1452  4 O 1.52-1.63
P 0.3818 0.9141 0.6452  4 O 1.52-1.63
P 0.6182 0.0859 0.3548  4 O 1.52-1.63
P 0.6182 0.4141 0.8548  4 O 1.52-1.63
P 0.8422 0.6876 0.4186  4 O 1.53-1.63
P 0.8422 0.8124 0.9186  4 O 1.53-1.63
H 0.0106 0.5527 0.6840  1 O 0.99
H 0.0106 0.9473 0.1840  1 O 0.99
H 0.1611 0.0227 0.7583  1 O 0.98
H 0.1611 0.4773 0.2583  1 O 0.98
H 0.3523 0.6031 0.5274  1 O 0.98
H 0.3523 0.8969 0.0274  1 O 0.98
H 0.4560 0.1756 0.8224  1 O 0.99
H 0.4560 0.3244 0.3224  1 O 0.99
H 0.5440 0.6756 0.6776  1 O 0.99
H 0.5440 0.8244 0.1776  1 O 0.99
H 0.6477 0.1031 0.9726  1 O 0.98
H 0.6477 0.3969 0.4726  1 O 0.98
H 0.8389 0.5227 0.7417  1 O 0.98
H 0.8389 0.9773 0.2417  1 O 0.98
H 0.9894 0.0527 0.8160  1 O 0.99
H 0.9894 0.4473 0.3160  1 O 0.99
O 0.0457 0.5021 0.2835  2 H 0.98-0.99
O 0.0457 0.9979 0.7835  2 H 0.98-0.99
O 0.0558 0.6623 0.6144  1 P 1.53
O 0.0558 0.8377 0.1144  1 P 1.53
O 0.0657 0.2004 0.1976  1 P 1.54
O 0.0657 0.2996 0.6976  1 P 1.54
O 0.1897 0.6437 0.1512  1 P 1.53
O 0.1897 0.8563 0.6512  1 P 1.53
O 0.3208 0.0176 0.6270  1 P 1.52
O 0.3208 0.4824 0.1270  1 P 1.52
O 0.3316 0.2300 0.6079  1 P 1.55
O 0.3316 0.2700 0.1079  1 P 1.55
O 0.3392 0.0954 0.1580  2 P 1.63
O 0.3392 0.4046 0.6580  2 P 1.63
O 0.4242 0.6249 0.0117  1 P 1.54
O 0.4242 0.8751 0.5117  1 P 1.54
O 0.4728 0.6532 0.5551  2 H 0.98-0.99
O 0.4728 0.8468 0.0551  2 H 0.98-0.99
O 0.5272 0.1532 0.9449  2 H 0.98-0.99
O 0.5272 0.3468 0.4449  2 H 0.98-0.99
O 0.5758 0.1249 0.4883  1 P 1.54
O 0.5758 0.3751 0.9883  1 P 1.54
O 0.6608 0.5954 0.3420  2 P 1.63
O 0.6608 0.9046 0.8420  2 P 1.63
O 0.6684 0.7300 0.8921  1 P 1.55
O 0.6684 0.7700 0.3921  1 P 1.55
O 0.6792 0.5176 0.8730  1 P 1.52
O 0.6792 0.9824 0.3730  1 P 1.52
O 0.8103 0.1437 0.3488  1 P 1.53
O 0.8103 0.3563 0.8488  1 P 1.53
O 0.9343 0.7004 0.3024  1 P 1.54
O 0.9343 0.7996 0.8024  1 P 1.54
O 0.9442 0.1623 0.8856  1 P 1.53
O 0.9442 0.3377 0.3856  1 P 1.53
O 0.9543 0.0021 0.2165  2 H 0.98-0.99
O 0.9543 0.4979 0.7165  2 H 0.98-0.99

Summary:
Final energy: -435.28 eV per cell
SG: P2_1/c (14)
Theoretical density: 3.06 Mg/m³
D(E_F): 0.0 states/eV per cell

***

Record 5
Material: VFeP2H2O10
Method: DFT, GGA+U
State: optimized geometry

Cell lengths 5.0979, 5.1820, 7.3072 Å; angles 109.81, 107.94, 92.91 degrees
With the nearest neighbours (Å) after each atom.
Fractional coordinates of all 16 atoms:
V 0.0000 0.0000 0.0000  6 O 1.84-1.93
Fe 0.5000 0.0000 0.5000  6 O 1.97-2.09
P 0.3688 0.6150 0.7486  4 O 1.53-1.58
P 0.6312 0.3850 0.2514  4 O 1.53-1.58
H 0.0301 0.1609 0.7233  1 O 1.00
H 0.9699 0.8391 0.2767  1 O 1.00
O 0.1285 0.9252 0.2517  1 H 1.00
O 0.1652 0.7024 0.8688  1 P 1.55
O 0.3185 0.7228 0.5728  1 P 1.53
O 0.3273 0.2456 0.0910  1 P 1.58
O 0.3394 0.2978 0.6791  1 P 1.53
O 0.6606 0.7022 0.3209  1 P 1.53
O 0.6727 0.7544 0.9090  1 P 1.58
O 0.6815 0.2772 0.4272  1 P 1.53
O 0.8348 0.2976 0.1312  1 P 1.55
O 0.8715 0.0748 0.7483  1 H 1.00

Summary:
Final energy: -108.82 eV per cell
SG: P-1 (2)
Theoretical density: 3.23 Mg/m³
D(E_F): 0.0 states/eV per cell

***

Record 6
Material: PaFeH2O6
Method: DFT, GGA+U
State: optimized geometry

Cell lengths 5.0030, 5.2020, 5.6294 Å; angles 116.25, 90.36, 116.93 degrees
With the nearest neighbours (Å) after each atom.
Fractional coordinates of all 10 atoms:
Pa 0.0000 0.0000 0.0000  6 O 2.10-2.31
Fe 0.5000 0.0000 0.5000  6 O 1.89-2.07
H 0.3772 0.4717 0.7006  1 O 0.98
H 0.6228 0.5283 0.2994  1 O 0.98
O 0.1418 0.8715 0.2612  1 Fe 1.89, 1 Pa 2.10
O 0.2624 0.8677 0.7303  1 Fe 1.91, 1 Pa 2.10
O 0.4282 0.5255 0.2647  1 H 0.98
O 0.5718 0.4745 0.7353  1 H 0.98
O 0.7376 0.1323 0.2697  1 Fe 1.91, 1 Pa 2.10
O 0.8582 0.1285 0.7388  1 Fe 1.89, 1 Pa 2.10

Summary:
Final energy: -68.36 eV per cell
SG: P-1 (2)
Theoretical density: 5.65 Mg/m³
D(E_F): 6.2 states/eV per cell

***

Record 7
Material: FeH2PbO4
Method: DFT, GGA+U
State: optimized geometry

Cell lengths 5.0419, 5.0419, 5.0419 Å; angles 126.00, 107.09, 96.80 degrees
With the nearest neighbours (Å) after each atom.
Fractional coordinates of all 8 atoms:
Fe 0.0000 0.0000 0.0000  4 O 1.83
H 0.1714 0.6714 0.5000  2 O 1.23
H 0.8286 0.3286 0.5000  2 O 1.23
Pb 0.5000 0.5000 0.0000  8 O 2.59-2.82
O 0.0662 0.4482 0.1641  1 H 1.23
O 0.2842 0.9021 0.8359  1 H 1.23
O 0.7158 0.5518 0.6179  1 H 1.23
O 0.9338 0.0979 0.3821  1 H 1.23

Summary:
Final energy: -43.31 eV per cell
SG: I222 (23)
Theoretical density: 5.95 Mg/m³

***

Record 8
Material: PuFe2HO6
Method: DFT, GGA+U
State: optimized geometry

Cell lengths 5.6248, 5.6248, 4.8788 Å; angles 111.10, 111.10, 57.46 degrees
With the nearest neighbours (Å) after each atom.
Fractional coordinates of all 10 atoms:
Pu 0.0000 0.0000 0.0000  2 O 1.89
Fe 0.2462 0.2462 0.6288  5 O 2.01-2.13
Fe 0.7538 0.7538 0.3712  5 O 2.01-2.13
H 0.5000 0.5000 0.5000  4 O 1.84
O 0.1764 0.6465 0.6462  1 H 1.84, 1 Fe 2.04
O 0.1869 0.1869 0.9768  1 Pu 1.89, 1 Fe 2.01
O 0.3535 0.8236 0.3538  1 H 1.84, 1 Fe 2.04
O 0.6465 0.1764 0.6462  1 H 1.84, 1 Fe 2.04
O 0.8131 0.8131 0.0232  1 Pu 1.89, 1 Fe 2.01
O 0.8236 0.3535 0.3538  1 H 1.84, 1 Fe 2.04

Summary:
Final energy: -72.67 eV per cell
SG: C2/m (12)
Theoretical density: 6.34 Mg/m³
D(E_F): 2.8 states/eV per cell